# 1
Compound: ZnPb3Au
Source: Alexandria
Functional: GGA-PBE
Structure: optimized geometry

The value obtained for the density of states at the Fermi level is 3.15 states/eV/f.u. Its energy above the most stable polymorph in this dataset is 0.000 eV/atom. The energy of formation from the pure elements comes out at 2.098 eV/f.u. For the total energy, the calculation gives -13.578 eV per cell. For the spin magnetization, the calculation gives 0.0 μB/cell.

It has space group Pm-3m (No. 221), with a = 5.333 Å, b = 5.333 Å, c = 5.333 Å, α = 90.00°, β = 90.00° and γ = 90.00°. The distinct sites, in fractional coordinates, are Zn at (0.000, 0.000, 0.000), Pb at (0.000, 0.000, 0.500) and Au at (0.500, 0.500, 0.500).

# 2
Compound: CsReSeN2
Source: Alexandria
Functional: GGA-PBE
Structure: optimized geometry

The value obtained for the density of states at the Fermi level is 2.61 states/eV/f.u. Its energy above the most stable polymorph in this dataset is 2.499 eV/atom. The value obtained for the uncorrected formation energy is 3.060 eV per atom. For the total energy, the calculation gives -18.137 eV per cell. For the spin magnetization, the calculation gives 3.9 μB/cell.

It has space group P4/mmm (No. 123), with a = 4.201 Å, b = 4.201 Å, c = 6.920 Å, α = 90.00°, β = 90.00° and γ = 90.00°. The distinct sites, in fractional coordinates, are Cs at (0.000, 0.000, 0.000), Re at (0.500, 0.500, 0.500), Se at (0.000, 0.000, 0.500) and N at (0.000, 0.500, 0.000).

# 3
Compound: Cd2TcW
Source: Alexandria
Functional: GGA-PBE
Structure: optimized geometry

The value obtained for the density of states at the Fermi level is 4.37 states/eV/f.u. Its energy above the most stable polymorph in this dataset is 0.390 eV/atom. The energy of formation from the pure elements comes out at 2.598 eV/f.u. For the total energy, the calculation gives -22.552 eV per cell. For the spin magnetization, the calculation gives 0.1 μB/cell.

It has space group Pmmm (No. 47), with a = 2.767 Å, b = 4.659 Å, c = 5.449 Å, α = 90.00°, β = 90.00° and γ = 90.00°. The distinct sites, in fractional coordinates, are Cd at (0.000, 0.000, 0.249), Tc at (0.500, 0.500, 0.000) and W at (0.500, 0.500, 0.500).

# 4
Compound: ZrTcMo
Source: Alexandria
Functional: GGA-PBE
Structure: optimized geometry

The value obtained for the density of states at the Fermi level is 4.46 states/eV/f.u. Its energy above the most stable polymorph in this dataset is 1.404 eV/atom. The energy of formation from the pure elements comes out at 3.518 eV/f.u. For the total energy, the calculation gives -104.908 eV per cell. For the spin magnetization, the calculation gives 5.4 μB/cell.

It has space group F-43m (No. 216), with a = 6.247 Å, b = 6.247 Å, c = 6.247 Å, α = 90.00°, β = 90.00° and γ = 90.00°. The distinct sites, in fractional coordinates, are Zr at (0.000, 0.000, 0.000), Tc at (0.250, 0.250, 0.750) and Mo at (0.250, 0.250, 0.250).

# 5
Compound: TlCrAs
Source: Alexandria
Functional: GGA-PBE
Structure: optimized geometry

The value obtained for the density of states at the Fermi level is 1.20 states/eV/f.u. Its energy above the most stable polymorph in this dataset is 0.000 eV/atom. The energy of formation from the pure elements comes out at -0.060 eV/f.u. For the total energy, the calculation gives -33.398 eV per cell. For the spin magnetization, the calculation gives 4.7 μB/cell.

It has space group P4/nmm (No. 129, origin choice 2), with a = 4.135 Å, b = 4.135 Å, c = 8.231 Å, α = 90.00°, β = 90.00° and γ = 90.00°. The distinct sites, in fractional coordinates, are Tl at (0.250, 0.250, 0.155), Cr at (0.250, 0.750, 0.500) and As at (0.250, 0.250, 0.660).

# 6
Compound: NiPtS3
Source: Alexandria
Functional: GGA-PBE
Structure: optimized geometry

The value obtained for the density of states at the Fermi level is 6.91 states/eV/f.u. Its energy above the most stable polymorph in this dataset is 0.000 eV/atom. The value obtained for the uncorrected formation energy is 0.776 eV per atom. For the total energy, the calculation gives -20.326 eV per cell. For the spin magnetization, the calculation gives 0.0 μB/cell.

It has space group Pm-3m (No. 221), with a = 4.361 Å, b = 4.361 Å, c = 4.361 Å, α = 90.00°, β = 90.00° and γ = 90.00°. The distinct sites, in fractional coordinates, are Ni at (0.000, 0.000, 0.000), Pt at (0.500, 0.500, 0.500) and S at (0.000, 0.000, 0.500).

# 7
Compound: LaNiRh2
Source: Alexandria
Functional: GGA-PBE
Structure: optimized geometry

The value obtained for the density of states at the Fermi level is 5.11 states/eV/f.u. Its energy above the most stable polymorph in this dataset is 0.414 eV/atom. The energy of formation from the pure elements comes out at -0.389 eV/f.u. For the total energy, the calculation gives -25.800 eV per cell. For the spin magnetization, the calculation gives 0.9 μB/cell.

It has space group Pmmm (No. 47), with a = 3.304 Å, b = 3.495 Å, c = 6.058 Å, α = 90.00°, β = 90.00° and γ = 90.00°. The distinct sites, in fractional coordinates, are La at (0.000, 0.000, 0.000), Ni at (0.000, 0.000, 0.500) and Rh at (0.500, 0.500, 0.286).

# 8
Compound: GaAgBr6
Source: Alexandria
Functional: GGA-PBE
Structure: optimized geometry

The value obtained for the density of states at the Fermi level is 3.69 states/eV/f.u. Its energy above the most stable polymorph in this dataset is 0.085 eV/atom. The value obtained for the uncorrected formation energy is -0.272 eV per atom. For the total energy, the calculation gives -36.179 eV per cell. For the spin magnetization, the calculation gives 3.3 μB/cell.

It has space group C2/m (No. 12), with a = 11.257 Å, b = 7.884 Å, c = 7.053 Å, α = 90.00°, β = 125.73° and γ = 90.00°. The distinct sites, in fractional coordinates, are Ga at (0.000, 0.000, 0.000), Ag at (0.000, 0.500, 0.500), Br at (0.088, 0.232, 0.847) and Br at (0.232, 0.000, 0.409).

# 9
Compound: Mn4Nb
Source: Alexandria
Functional: GGA-PBE
Structure: optimized geometry

The value obtained for the density of states at the Fermi level is 6.62 states/eV/f.u. The energy of formation from the pure elements comes out at 7.188 eV/f.u. For the total energy, the calculation gives -39.560 eV per cell. For the spin magnetization, the calculation gives 12.5 μB/cell.

It has space group Pm-3m (No. 221), with a = 4.640 Å, b = 4.640 Å, c = 4.640 Å, α = 90.00°, β = 90.00° and γ = 90.00°. The distinct sites, in fractional coordinates, are Mn at (0.000, 0.000, 0.000), Mn at (0.000, 0.500, 0.500) and Nb at (0.500, 0.500, 0.500).

# 10
Compound: TiCoN2
Source: Alexandria
Functional: GGA-PBE
Structure: optimized geometry

The value obtained for the density of states at the Fermi level is 3.44 states/eV/f.u. Its energy above the most stable polymorph in this dataset is 0.655 eV/atom. The value obtained for the uncorrected formation energy is -0.040 eV per atom. For the total energy, the calculation gives -127.239 eV per cell. For the spin magnetization, the calculation gives 10.8 μB/cell.

It has space group Fm-3m (No. 225), with a = 5.187 Å, b = 5.187 Å, c = 5.187 Å, α = 90.00°, β = 90.00° and γ = 90.00°. The distinct sites, in fractional coordinates, are Ti at (0.000, 0.000, 0.000), Co at (0.000, 0.000, 0.500) and N at (0.250, 0.250, 0.250).

# 11
Compound: RbTa3Sb
Source: Alexandria
Functional: GGA-PBE
Structure: optimized geometry

The value obtained for the density of states at the Fermi level is 3.69 states/eV/f.u. Its energy above the most stable polymorph in this dataset is 1.000 eV/atom. The value obtained for the uncorrected formation energy is 3.014 eV per atom. For the total energy, the calculation gives -25.580 eV per cell. For the spin magnetization, the calculation gives 0.0 μB/cell.

It has space group Pm-3m (No. 221), with a = 4.871 Å, b = 4.871 Å, c = 4.871 Å, α = 90.00°, β = 90.00° and γ = 90.00°. The distinct sites, in fractional coordinates, are Rb at (0.000, 0.000, 0.000), Ta at (0.000, 0.000, 0.500) and Sb at (0.500, 0.500, 0.500).

# 12
Compound: Li2NiRuAu
Source: Alexandria
Functional: GGA-PBE
Structure: optimized geometry

The value obtained for the density of states at the Fermi level is 4.86 states/eV/f.u. The energy of formation from the pure elements comes out at 4.385 eV/f.u. For the total energy, the calculation gives -17.777 eV per cell. For the spin magnetization, the calculation gives 0.0 μB/cell.

It has space group P4/mmm (No. 123), with a = 4.500 Å, b = 4.500 Å, c = 4.399 Å, α = 90.00°, β = 90.00° and γ = 90.00°. The distinct sites, in fractional coordinates, are Li at (0.000, 0.500, 0.000), Ni at (0.000, 0.000, 0.500), Ru at (0.000, 0.000, 0.000) and Au at (0.500, 0.500, 0.500).

| no. | theoretical density (g/cm³) |
| --- | --- |
| 1 | 9.68 |
| 2 | 5.79 |
| 3 | 11.98 |
| 4 | 7.77 |
| 5 | 7.82 |
| 6 | 7.01 |
| 7 | 9.58 |
| 8 | 4.29 |
| 9 | 5.20 |
| 10 | 6.42 |
| 11 | 10.78 |
| 12 | 6.91 |